[1]
DFT (GGA-PBEsol) results for a relaxed AlIn2Co crystal.

a = 2.9265 Å, b = 2.9265 Å, c = 8.2988 Å
α = 90.00°, β = 90.00°, γ = 90.00°
Last column: nearest neighbours and their distance in Å.
Fractional coordinates of all 4 atoms:
Al1 0.0000 0.0000 0.0000  4 Co 2.43
In1 0.0000 0.0000 0.3681  4 Co 2.73, 4 In 2.93
In2 0.5000 0.5000 0.7055  4 In 2.93, 4 Al 3.20
Co1 0.5000 0.5000 0.1541  4 Al 2.43

Values from the calculation:
- E_tot: -17.9 eV for the cell shown
- ΔH_f (0 K): -3.0 kJ per mole of atoms
- Total magnetic moment: 0.3 μB per cell

=====

[2]
DFT (GGA-PBEsol) results for a relaxed Al3InCo crystal.

a = 4.5274 Å, b = 4.5274 Å, c = 4.5274 Å
α = 90.00°, β = 90.00°, γ = 90.00°
Last column: nearest neighbours and their distance in Å.
Fractional coordinates of all 5 atoms:
Al1 0.0000 0.0000 0.5000  2 Co 2.26
Al2 0.0000 0.5000 0.0000  2 Co 2.26
Al3 0.5000 0.0000 0.0000  2 Co 2.26
In1 0.5000 0.5000 0.5000  12 Al 3.20
Co1 0.0000 0.0000 0.0000  6 Al 2.26

Values from the calculation:
- E_tot: -23.1 eV for the cell shown
- ΔH_f (0 K): -2.6 kJ per mole of atoms
- Total magnetic moment: 0.0 μB per cell

=====

[3]
DFT (GGA-PBEsol) results for a relaxed AlInCo2 crystal.

a = 4.1446 Å, b = 4.1446 Å, c = 3.0186 Å
α = 90.00°, β = 90.00°, γ = 90.00°
Last column: nearest neighbours and their distance in Å.
Fractional coordinates of all 4 atoms:
Al1 0.0000 0.0000 0.0000  8 Co 2.56
In1 0.5000 0.5000 0.0000  8 Co 2.56
Co1 0.0000 0.5000 0.5000  4 In 2.56, 4 Al 2.56
Co2 0.5000 0.0000 0.5000  4 In 2.56, 4 Al 2.56

Values from the calculation:
- E_tot: -23.2 eV for the cell shown
- ΔH_f (0 K): -16.8 kJ per mole of atoms
- Total magnetic moment: 0.0 μB per cell

=====

[4]
DFT (GGA-PBEsol) results for a relaxed Al2InCo crystal.

a = 4.8212 Å, b = 4.8212 Å, c = 4.8212 Å
α = 132.21°, β = 132.21°, γ = 69.91°
Last column: nearest neighbours and their distance in Å.
Fractional coordinates of all 4 atoms:
Al1 0.2500 0.7500 0.5000  4 Al 2.76, 4 Co 2.78, 4 In 2.78
Al2 0.7500 0.2500 0.5000  4 Al 2.76, 4 Co 2.78, 4 In 2.78
In1 0.0000 0.0000 0.0000  4 Co 2.76, 8 Al 2.78
Co1 0.5000 0.5000 0.0000  4 In 2.76, 8 Al 2.78

Values from the calculation:
- E_tot: -18.7 eV for the cell shown
- ΔH_f (0 K): 5.0 kJ per mole of atoms
- Total magnetic moment: 0.3 μB per cell

=====

[5]
DFT (GGA-PBEsol) results for a relaxed Al2InCo crystal.

a = 4.6514 Å, b = 4.6514 Å, c = 4.8106 Å
α = 101.89°, β = 101.89°, γ = 37.08°
Last column: nearest neighbours and their distance in Å.
Fractional coordinates of all 4 atoms:
Al1 0.2278 0.2278 0.2119  3 Co 2.52-2.81, 2 Al 2.62, 1 In 2.68
Al2 0.7722 0.7722 0.7881  3 Co 2.52-2.81, 2 Al 2.62, 1 In 2.68
In1 0.0000 0.0000 0.5000  6 Al 2.68-2.90, 4 Co 2.82, 2 In 2.96
Co1 0.5000 0.5000 0.0000  6 Al 2.52-2.81, 4 In 2.82

Values from the calculation:
- E_tot: -18.8 eV for the cell shown
- ΔH_f (0 K): 1.3 kJ per mole of atoms
- Total magnetic moment: 0.0 μB per cell

=====

[6]
DFT (GGA-PBEsol) results for a relaxed AlIn2Co crystal.

a = 3.4909 Å, b = 3.4909 Å, c = 5.5957 Å
α = 90.00°, β = 90.00°, γ = 90.00°
Last column: nearest neighbours and their distance in Å.
Fractional coordinates of all 4 atoms:
Al1 0.0000 0.0000 0.0000  2 Co 2.80, 8 In 2.87
In1 0.5000 0.5000 0.2620  2 In 2.66-2.93, 4 Co 2.80, 4 Al 2.87
In2 0.5000 0.5000 0.7380  2 In 2.66-2.93, 4 Co 2.80, 4 Al 2.87
Co1 0.0000 0.0000 0.5000  2 Al 2.80, 8 In 2.80

Values from the calculation:
- E_tot: -17.0 eV for the cell shown
- ΔH_f (0 K): 20.2 kJ per mole of atoms
- Total magnetic moment: 0.0 μB per cell

=====

[7]
DFT (GGA-PBEsol) results for a relaxed AlCoIr2 crystal.

a = 2.6784 Å, b = 2.6784 Å, c = 8.5055 Å
α = 90.00°, β = 90.00°, γ = 118.89°
Last column: nearest neighbours and their distance in Å.
Fractional coordinates of all 4 atoms:
Al1 0.0000 0.0000 0.0000  2 Co 2.37, 2 Ir 2.49
Co1 0.5000 0.5000 0.2282  2 Al 2.37, 2 Ir 2.50
Ir1 0.0000 0.0000 0.4740  2 Co 2.50, 8 Ir 2.68-2.75
Ir2 0.5000 0.5000 0.7545  2 Al 2.49, 8 Ir 2.68-2.75

Values from the calculation:
- E_tot: -31.3 eV for the cell shown
- ΔH_f (0 K): 4.4 kJ per mole of atoms
- Total magnetic moment: 1.4 μB per cell

=====

[8]
DFT (GGA-PBEsol) results for a relaxed AlCo2Ir crystal.

a = 4.7832 Å, b = 4.7832 Å, c = 4.7832 Å
α = 145.26°, β = 128.64°, γ = 63.51°
Last column: nearest neighbours and their distance in Å.
Fractional coordinates of all 4 atoms:
Al1 0.0000 0.0000 0.0000  6 Co 2.41-2.52, 2 Ir 2.51
Co1 0.2394 0.7394 0.5000  2 Al 2.41, 2 Co 2.44, 4 Ir 2.52
Co2 0.4818 0.4818 0.0000  2 Co 2.44, 4 Al 2.52, 2 Ir 2.58
Ir1 0.7457 0.2457 0.5000  2 Al 2.51, 6 Co 2.52-2.58

Values from the calculation:
- E_tot: -30.3 eV for the cell shown
- ΔH_f (0 K): -22.2 kJ per mole of atoms
- Total magnetic moment: 3.1 μB per cell